(1)
Material: RbNbB2
Method: DFT, PBE-GGA
State: optimized geometry

Summary:
Calculated volume: 65 Å³ per cell
VASP energy: -4.0094 eV per atom
ΔE to the lowest computed polymorph: 930 meV/atom

Lattice parameters (Å, degrees): 4.507 4.507 4.507 60.00 60.00 60.00
Fractional positions:
Nb 0.500 0.500 0.500
B 0.250 0.250 0.250
B 0.750 0.750 0.750
Rb 0.000 0.000 0.000

***

(2)
Material: Rb2NbB
Method: DFT, PBE-GGA
State: optimized geometry

Summary:
Calculated volume: 369 Å³ per cell
VASP energy: -3.4497 eV per atom

Lattice parameters (Å, degrees): 12.918 12.918 9.398 46.59 46.59 90.00
Last column: magnetic moment on the atom in μB.
Fractional positions:
Nb 0.000 0.000 0.000  1.74
Nb 0.750 0.250 0.500  1.73
B 0.500 0.500 0.000  0.01
B 0.250 0.750 0.500  0.02
Rb 0.430 0.125 0.250  0.03
Rb 0.320 0.625 0.250  0.03
Rb 0.375 0.570 0.750  0.03
Rb 0.875 0.680 0.750  0.03

***

(3)
Material: RbNbB3
Method: DFT, PBE-GGA
State: optimized geometry

Summary:
Calculated volume: 93 Å³ per cell
VASP energy: -4.9299 eV per atom
ΔE to the lowest computed polymorph: 0 meV/atom

Lattice parameters (Å, degrees): 4.525 4.525 4.525 90.00 90.00 90.00
Fractional positions:
Nb 0.000 0.000 0.000
B 0.000 0.500 0.000
B 0.000 0.000 0.500
B 0.500 0.000 0.000
Rb 0.500 0.500 0.500

***

(4)
Material: RbSr2NbB
Method: DFT, PBE-GGA
State: optimized geometry

Summary:
Calculated volume: 194 Å³ per cell
VASP energy: -2.9160 eV per atom

Lattice parameters (Å, degrees): 5.709 5.961 5.709 90.00 90.00 90.00
Last column: magnetic moment on the atom in μB.
Fractional positions:
Sr 0.000 0.000 0.500  -0.01
Sr 0.500 0.000 0.000  -0.04
Nb 0.500 0.500 0.500  2.99
B 0.000 0.000 0.000  -0.48
Rb 0.000 0.500 0.000  -0.01

***

(5)
Material: RbNbTl2B
Method: DFT, PBE-GGA
State: optimized geometry

Summary:
Calculated volume: 226 Å³ per cell
VASP energy: -1.8490 eV per atom

Lattice parameters (Å, degrees): 6.276 5.737 6.276 90.00 90.00 90.00
Last column: magnetic moment on the atom in μB.
Fractional positions:
Tl 0.000 0.000 0.500  -0.03
Tl 0.500 0.000 0.000  -0.05
B 0.500 0.500 0.500  -0.26
Nb 0.000 0.500 0.000  3.06
Rb 0.000 0.000 0.000  0.09

***

(6)
Material: RbNb2TlB
Method: DFT, PBE-GGA
State: optimized geometry

Summary:
Calculated volume: 118 Å³ per cell
VASP energy: -5.0160 eV per atom

Lattice parameters (Å, degrees): 4.499 5.833 4.499 90.00 90.00 90.00
Fractional positions:
Tl 0.500 0.500 0.500
B 0.000 0.000 0.000
Nb 0.000 0.000 0.500
Nb 0.500 0.000 0.000
Rb 0.000 0.500 0.000

***

(7)
Material: Rb2YNbB
Method: DFT, PBE-GGA
State: optimized geometry

Summary:
Calculated volume: 183 Å³ per cell
VASP energy: -3.6431 eV per atom

Lattice parameters (Å, degrees): 6.541 4.270 6.541 90.00 90.00 90.00
Last column: magnetic moment on the atom in μB.
Fractional positions:
Y 0.500 0.500 0.500  0.25
Nb 0.000 0.500 0.000  1.28
B 0.000 0.000 0.000  -0.04
Rb 0.000 0.000 0.500  0.02
Rb 0.500 0.000 0.000  0.02

***

(8)
Material: NbReB2
Method: DFT, PBE-GGA
State: optimized geometry

Summary:
Calculated volume: 46 Å³ per cell
VASP energy: -9.2370 eV per atom
ΔE to the lowest computed polymorph: 193 meV/atom

Lattice parameters (Å, degrees): 3.207 3.207 5.490 73.02 73.02 60.00
Fractional positions:
Re 0.000 0.000 0.000
Nb 0.500 0.500 0.500
B 0.255 0.255 0.236
B 0.745 0.745 0.764

***

ΔE_f for every record listed, in sequence, given in kJ per mole of atoms: 202; 118; 124; 125; 255; 98; 134; -26.